# PBE-GGA CdCo2Mo, relaxed
data_CdCo2Mo
_chemical_formula_sum 'Cd1 Co2 Mo1'
_cell_length_a 2.7267
_cell_length_b 2.7267
_cell_length_c 7.7175
_cell_angle_alpha 90.00
_cell_angle_beta 90.00
_cell_angle_gamma 90.00
_space_group_name_H-M_alt 'P 1'
_space_group_IT_number 1
loop_
_space_group_symop_operation_xyz
'x,y,z'
loop_
_atom_site_label
_atom_site_fract_x
_atom_site_fract_y
_atom_site_fract_z
_atom_site_occupancy
Co1 0.0000 0.0000 0.0379 1
Cd1 0.5000 0.5000 0.7698 1
Mo1 0.0000 0.0000 0.4642 1
Co2 0.5000 0.5000 0.2281 1
# Energy of formation from the pure elements   0.26 eV/atom
# Space-group type   No. 99
# Magnetization   3.18 μB/cell
# DOS(E_F)   3.5 states/eV/f.u.
# Electronic total energy   -6.232 eV/atom
# Volume   57.4 Å³/cell